Computed, not measured: a relaxed structure of CoAsIrOs at the PBE level of DFT.

a = 4.314 Å, b = 4.314 Å, c = 4.314 Å
α = 60.00°, β = 60.00°, γ = 60.00°
Fractional coordinates of all 4 atoms:
Co 0.000 0.000 0.000
As 0.750 0.750 0.750
Ir 0.250 0.250 0.250
Os 0.500 0.500 0.500

Values from the calculation:
Theoretical density in g/cm3: 15.10
Space-group type: No. 216
Excess energy over the best structure of this formula in the dataset in meV/atom: 0.0

Computed, not measured: a relaxed structure of ScCoAsIr at the PBE level of DFT.

a = 4.447 Å, b = 4.447 Å, c = 4.447 Å
α = 60.00°, β = 60.00°, γ = 60.00°
Fractional coordinates of all 4 atoms:
Sc 0.000 0.000 0.000
Co 0.500 0.500 0.500
As 0.250 0.250 0.250
Ir 0.750 0.750 0.750

Values from the calculation:
Theoretical density in g/cm3: 9.90
Space-group type: No. 216
Excess energy over the best structure of this formula in the dataset in meV/atom: 226.1

Computed, not measured: a relaxed structure of ScCoAsIr at the PBE level of DFT.

a = 4.392 Å, b = 4.392 Å, c = 4.392 Å
α = 60.00°, β = 60.00°, γ = 60.00°
Fractional coordinates of all 4 atoms:
Sc 0.000 0.000 0.000
Co 0.750 0.750 0.750
As 0.500 0.500 0.500
Ir 0.250 0.250 0.250

Values from the calculation:
Theoretical density in g/cm3: 10.28
Space-group type: No. 216
Excess energy over the best structure of this formula in the dataset in meV/atom: 0.0

Computed, not measured: a relaxed structure of CoAsIrW at the PBE level of DFT.

a = 4.327 Å, b = 4.327 Å, c = 4.327 Å
α = 60.00°, β = 60.00°, γ = 60.00°
Fractional coordinates of all 4 atoms:
Co 0.000 0.000 0.000
As 0.750 0.750 0.750
Ir 0.250 0.250 0.250
W 0.500 0.500 0.500

Values from the calculation:
Theoretical density in g/cm3: 14.78
Space-group type: No. 216
Excess energy over the best structure of this formula in the dataset in meV/atom: 0.0